# 1
Compound: Tl2SbSe4
Source: Alexandria
Functional: PBE
Structure: optimized geometry

Structure (POSCAR):
```
Tl2SbSe4
1.0
7.4544 0.0000 0.0000
0.0000 12.9561 0.0000
0.0000 0.0000 4.0832
Tl Sb Se
4 2 8
Direct
0.1016 0.1664 0.0000 Tl
0.3984 0.6664 0.0000 Tl
0.6016 0.3336 0.0000 Tl
0.8984 0.8336 0.0000 Tl
0.0000 0.5000 0.5000 Sb
0.5000 0.0000 0.5000 Sb
0.1229 0.7051 0.5000 Se
0.2421 0.4422 0.0000 Se
0.2579 0.9422 0.0000 Se
0.3771 0.2051 0.5000 Se
0.6229 0.7949 0.5000 Se
0.7421 0.0578 0.0000 Se
0.7579 0.5578 0.0000 Se
0.8771 0.2949 0.5000 Se
```

Results
Uncorrected formation energy in eV per atom: -0.15
Energy relative to the lowest polymorph listed for this composition in meV/atom: 0.0

# 2
Compound: TlSbSe
Source: Alexandria
Functional: PBE
Structure: optimized geometry

Structure (POSCAR):
```
TlSbSe
1.0
4.8107 0.0000 0.0000
-2.4054 4.1662 0.0000
0.0000 0.0000 4.7591
Tl Sb Se
1 1 1
Direct
0.0000 0.0000 0.0000 Tl
0.6667 0.3333 0.5576 Sb
0.3333 0.6667 0.4215 Se
```

Results
Uncorrected formation energy in eV per atom: -0.01
Energy relative to the lowest polymorph listed for this composition in meV/atom: 103.3

# 3
Compound: Tl8SbSe6
Source: Alexandria
Functional: PBE
Structure: optimized geometry

Structure (POSCAR):
```
Tl8SbSe6
1.0
9.2086 0.0000 0.0000
0.0000 10.9870 0.0000
0.0000 0.0000 9.7145
Tl Sb Se
16 2 12
Direct
0.0000 0.2416 0.1521 Tl
0.0000 0.2504 0.4999 Tl
0.1909 0.7498 0.5000 Tl
0.2399 0.9770 0.7688 Tl
0.2464 0.5246 0.7645 Tl
0.2536 0.4754 0.2645 Tl
0.2601 0.0230 0.2688 Tl
0.3091 0.2502 0.0000 Tl
0.5000 0.7496 0.9999 Tl
0.5000 0.7584 0.6521 Tl
0.6909 0.2502 0.0000 Tl
0.7399 0.0230 0.2688 Tl
0.7464 0.4754 0.2645 Tl
0.7536 0.5246 0.7645 Tl
0.7601 0.9770 0.7688 Tl
0.8091 0.7498 0.5000 Tl
0.0000 0.7396 0.0264 Sb
0.5000 0.2604 0.5264 Sb
0.0000 0.0198 0.9808 Se
0.0000 0.4876 0.9904 Se
0.0000 0.5305 0.4934 Se
0.0000 0.9673 0.4956 Se
0.2253 0.7497 0.1900 Se
0.2747 0.2503 0.6900 Se
0.5000 0.0327 0.9956 Se
0.5000 0.4695 0.9934 Se
0.5000 0.5124 0.4904 Se
0.5000 0.9802 0.4808 Se
0.7253 0.2503 0.6900 Se
0.7747 0.7497 0.1900 Se
```

Results
Uncorrected formation energy in eV per atom: -0.28